Run a
## AgSbP2O (PBE-GGA)

Data for a relaxed structure of AgSbP2O.

Lattice parameters (Å, degrees): 5.165 5.165 3.870 90.00 90.00 90.00
Sites, in units of the cell vectors:
Ag (0.500, 0.500, 0.500)
P (0.000, 0.500, 0.000)
Sb (0.000, 0.000, 0.000)
P (0.500, 0.000, 0.000)
O (0.000, 0.000, 0.500)

Summary:
Theoretical density in g/cm³: 4.9
SG: P4/mmm, No. 123

Run b
## AgSbP2O (PBE-GGA)

Data for a relaxed structure of AgSbP2O.

Lattice parameters (Å, degrees): 4.910 4.910 3.947 90.00 90.00 90.00
Sites, in units of the cell vectors:
P (0.500, 0.000, 0.000)
Sb (0.500, 0.500, 0.500)
O (0.000, 0.000, 0.500)
P (0.000, 0.500, 0.000)
Ag (0.000, 0.000, 0.000)

Summary:
Theoretical density in g/cm³: 5.4
SG: P4/mmm, No. 123

run a is favored, and the nearest alternative lies 0.198 eV/atom above it.

Run a
## SiAgP2O (PBE-GGA)

Data for a relaxed structure of SiAgP2O.

Lattice parameters (Å, degrees): 4.864 4.864 3.229 90.00 90.00 90.00
Sites, in units of the cell vectors:
O (0.000, 0.000, 0.500)
P (0.500, 0.000, 0.000)
Si (0.000, 0.000, 0.000)
P (0.000, 0.500, 0.000)
Ag (0.500, 0.500, 0.500)

Summary:
Theoretical density in g/cm³: 4.7
SG: P4/mmm, No. 123

Run b
## SiAgP2O (PBE-GGA)

Data for a relaxed structure of SiAgP2O.

Lattice parameters (Å, degrees): 4.855 4.855 3.896 90.00 90.00 90.00
Sites, in units of the cell vectors:
Si (0.500, 0.500, 0.500)
Ag (0.000, 0.000, 0.000)
O (0.000, 0.000, 0.500)
P (0.000, 0.500, 0.000)
P (0.500, 0.000, 0.000)

Summary:
Theoretical density in g/cm³: 3.9
SG: P4/mmm, No. 123

run a is favored, and the nearest alternative lies 1.215 eV/atom above it.

Run a
## SiAgPO2 (PBE-GGA)

Data for a relaxed structure of SiAgPO2.

Lattice parameters (Å, degrees): 3.950 3.950 4.962 90.00 90.00 90.00
Sites, in units of the cell vectors:
Si (0.500, 0.500, 0.500)
P (0.000, 0.000, 0.500)
Ag (0.000, 0.000, 0.000)
O (0.000, 0.500, 0.000)
O (0.500, 0.000, 0.000)

Summary:
Theoretical density in g/cm³: 4.3
SG: P4/mmm, No. 123

Run b
## SiAgPO2 (PBE-GGA)

Data for a relaxed structure of SiAgPO2.

Lattice parameters (Å, degrees): 3.463 3.463 5.444 90.00 90.00 90.00
Sites, in units of the cell vectors:
Si (0.000, 0.000, 0.000)
P (0.000, 0.000, 0.500)
Ag (0.500, 0.500, 0.500)
O (0.000, 0.500, 0.000)
O (0.500, 0.000, 0.000)

Summary:
Theoretical density in g/cm³: 5.1
SG: P4/mmm, No. 123

run b is favored, and the nearest alternative lies 1.507 eV/atom above it.

Run a
## TiAgPO2 (PBE-GGA)

Data for a relaxed structure of TiAgPO2.

Lattice parameters (Å, degrees): 3.975 3.975 4.819 90.00 90.00 90.00
Sites, in units of the cell vectors:
O (0.500, 0.000, 0.000)
P (0.000, 0.000, 0.500)
Ti (0.500, 0.500, 0.500)
O (0.000, 0.500, 0.000)
Ag (0.000, 0.000, 0.000)

Summary:
Theoretical density in g/cm³: 4.8
SG: P4/mmm, No. 123

Run b
## TiAgPO2 (PBE-GGA)

Data for a relaxed structure of TiAgPO2.

Lattice parameters (Å, degrees): 3.751 3.751 5.512 90.00 90.00 90.00
Sites, in units of the cell vectors:
Ti (0.000, 0.000, 0.000)
P (0.000, 0.000, 0.500)
O (0.500, 0.000, 0.000)
O (0.000, 0.500, 0.000)
Ag (0.500, 0.500, 0.500)

Summary:
Theoretical density in g/cm³: 4.7
SG: P4/mmm, No. 123

run b is favored, and the nearest alternative lies 1.433 eV/atom above it.